No. 1
First-principles (GGA-PBEsol) data for a relaxed structure of RbAgCl2, as listed in Alexandria.

Formation energy (no corrections): -110 kJ/mol of atoms
Calculated total energy: -0.2372 Ry/atom

Lattice parameters (Å, degrees): 6.620 6.620 6.620 109.96 109.96 108.50
Element x y z (fractional)
Rb 0.000 0.000 0.000
Rb 0.750 0.250 0.500
Ag 0.250 0.750 0.500
Ag 0.500 0.500 0.000
Cl 0.194 0.125 0.569
Cl 0.375 0.806 0.931
Cl 0.556 0.625 0.431
Cl 0.875 0.444 0.069

No. 2
First-principles (GGA-PBEsol) data for a relaxed structure of Rb2ScAgCl6, as listed in Alexandria.

Formation energy (no corrections): -169 kJ/mol of atoms
Calculated total energy: -0.3049 Ry/atom

Lattice parameters (Å, degrees): 7.231 7.231 7.231 60.00 60.00 60.00
Element x y z (fractional)
Rb 0.250 0.250 0.250
Rb 0.750 0.750 0.750
Sc 0.000 0.000 0.000
Ag 0.500 0.500 0.500
Cl 0.241 0.241 0.759
Cl 0.241 0.759 0.241
Cl 0.241 0.759 0.759
Cl 0.759 0.241 0.241
Cl 0.759 0.241 0.759
Cl 0.759 0.759 0.241

No. 3
First-principles (GGA-PBEsol) data for a relaxed structure of Rb2SmAgCl6, as listed in Alexandria.

Formation energy (no corrections): -171 kJ/mol of atoms
Calculated total energy: -0.2956 Ry/atom

Lattice parameters (Å, degrees): 7.502 7.502 7.502 60.00 60.00 60.00
Element x y z (fractional)
Rb 0.250 0.250 0.250
Rb 0.750 0.750 0.750
Sm 0.000 0.000 0.000
Ag 0.500 0.500 0.500
Cl 0.250 0.250 0.750
Cl 0.250 0.750 0.250
Cl 0.250 0.750 0.750
Cl 0.750 0.250 0.250
Cl 0.750 0.250 0.750
Cl 0.750 0.750 0.250

No. 4
First-principles (GGA-PBEsol) data for a relaxed structure of Rb2TbAgCl6, as listed in Alexandria.

Formation energy (no corrections): -173 kJ/mol of atoms
Calculated total energy: -0.2963 Ry/atom

Lattice parameters (Å, degrees): 7.438 7.438 7.438 60.00 60.00 60.00
Element x y z (fractional)
Rb 0.250 0.250 0.250
Rb 0.750 0.750 0.750
Tb 0.000 0.000 0.000
Ag 0.500 0.500 0.500
Cl 0.248 0.248 0.752
Cl 0.248 0.752 0.248
Cl 0.248 0.752 0.752
Cl 0.752 0.248 0.248
Cl 0.752 0.248 0.752
Cl 0.752 0.752 0.248